Entry from the Alexandria database: Tb3AlSn3 after structural relaxation (PBE-GGA).

E in eV/atom: -4.62
Total magnetic moment in μB per cell: 0.000

Lattice parameters (Å, degrees): 5.6778 8.6813 8.6813 120.00 90.00 90.00
Positions (direct):
Al: 0.7500 0.3333 0.6667
Al: 0.2500 0.6667 0.3333
Tb: 0.7500 0.6432 0.5506
Tb: 0.2500 0.5506 0.9074
Tb: 0.7500 0.4494 0.0926
Tb: 0.7500 0.9074 0.3568
Tb: 0.2500 0.0926 0.6432
Tb: 0.2500 0.3568 0.4494
Sn: 0.2500 0.7957 0.7346
Sn: 0.2500 0.2654 0.0611
Sn: 0.7500 0.2043 0.2654
Sn: 0.7500 0.0611 0.7957
Sn: 0.7500 0.7346 0.9389
Sn: 0.2500 0.9389 0.2043